#P
# ReIrIO2

A geometry-optimized ReIrIO2 structure (PBE, the Alexandria database). Values from VASP.

Geometry as Quantum ESPRESSO input:
```
&SYSTEM
  ibrav = 0, nat = 5, ntyp = 4
/
ATOMIC_SPECIES
Re 186.21 Re.upf
O 16.00 O.upf
I 126.90 I.upf
Ir 192.22 Ir.upf
CELL_PARAMETERS angstrom
3.765 0.000 0.000
0.000 3.765 0.000
0.000 0.000 6.213
ATOMIC_POSITIONS crystal
Re 0.000 0.000 0.000
O 0.500 0.000 0.000
O 0.000 0.500 0.000
I 0.000 0.000 0.500
Ir 0.500 0.500 0.500
```

Summary:
- Fermi-level density of states (states/eV per cell) = 4.3
- density (g cm⁻³) = 10.1
- SG = P4/mmm

=====

#Q
# ReIrIO2

A geometry-optimized ReIrIO2 structure (PBE, the Alexandria database). Values from VASP.

Geometry as Quantum ESPRESSO input:
```
&SYSTEM
  ibrav = 0, nat = 5, ntyp = 4
/
ATOMIC_SPECIES
I 126.90 I.upf
Ir 192.22 Ir.upf
Re 186.21 Re.upf
O 16.00 O.upf
CELL_PARAMETERS angstrom
-0.194 -2.011 -3.199
2.677 -2.334 1.305
-5.639 -4.644 3.260
ATOMIC_POSITIONS crystal
I 0.000 0.000 0.500
Ir 0.000 0.000 0.000
Re 0.500 0.500 0.500
O 0.500 0.000 0.000
O 0.000 0.500 0.000
```

Summary:
- Fermi-level density of states (states/eV per cell) = 5.8
- density (g cm⁻³) = 7.8
- SG = P4/mmm

=====

Most stable of them? #P.

=====

#P
# IrRhIO2

A geometry-optimized IrRhIO2 structure (PBE, the Alexandria database). Values from VASP.

Geometry as Quantum ESPRESSO input:
```
&SYSTEM
  ibrav = 0, nat = 5, ntyp = 4
/
ATOMIC_SPECIES
O 16.00 O.upf
Ir 192.22 Ir.upf
I 126.90 I.upf
Rh 102.91 Rh.upf
CELL_PARAMETERS angstrom
3.729 0.000 0.000
0.000 3.729 0.000
0.000 0.000 8.615
ATOMIC_POSITIONS crystal
O 0.500 0.000 0.000
O 0.000 0.500 0.000
Ir 0.000 0.000 0.000
I 0.000 0.000 0.500
Rh 0.500 0.500 0.500
```

Summary:
- Fermi-level density of states (states/eV per cell) = 5.5
- density (g cm⁻³) = 6.3
- SG = P4/mmm

=====

#Q
# IrRhIO2

A geometry-optimized IrRhIO2 structure (PBE, the Alexandria database). Values from VASP.

Geometry as Quantum ESPRESSO input:
```
&SYSTEM
  ibrav = 0, nat = 5, ntyp = 4
/
ATOMIC_SPECIES
Ir 192.22 Ir.upf
I 126.90 I.upf
O 16.00 O.upf
Rh 102.91 Rh.upf
CELL_PARAMETERS angstrom
-0.913 -3.613 -0.293
1.536 -0.112 -3.406
7.069 -2.051 3.256
ATOMIC_POSITIONS crystal
Ir 0.500 0.500 0.500
I 0.000 0.000 0.500
O 0.000 0.500 0.000
O 0.500 0.000 0.000
Rh 0.000 0.000 0.000
```

Summary:
- Fermi-level density of states (states/eV per cell) = 4.8
- density (g cm⁻³) = 6.7
- SG = P4/mmm

=====

Most stable of them? #P.

=====

#P
# IrRuI2O

A geometry-optimized IrRuI2O structure (PBE, the Alexandria database). Values from VASP.

Geometry as Quantum ESPRESSO input:
```
&SYSTEM
  ibrav = 0, nat = 5, ntyp = 4
/
ATOMIC_SPECIES
I 126.90 I.upf
Ru 101.07 Ru.upf
O 16.00 O.upf
Ir 192.22 Ir.upf
CELL_PARAMETERS angstrom
5.832 0.000 0.000
0.000 3.609 0.000
0.000 0.000 5.832
ATOMIC_POSITIONS crystal
I 0.500 0.000 0.000
I 0.000 0.000 0.500
Ru 0.500 0.500 0.500
O 0.000 0.000 0.000
Ir 0.000 0.500 0.000
```

Summary:
- Fermi-level density of states (states/eV per cell) = 7.8
- density (g cm⁻³) = 7.6
- SG = P4/mmm

=====

#Q
# IrRuI2O

A geometry-optimized IrRuI2O structure (PBE, the Alexandria database). Values from VASP.

Geometry as Quantum ESPRESSO input:
```
&SYSTEM
  ibrav = 0, nat = 5, ntyp = 4
/
ATOMIC_SPECIES
O 16.00 O.upf
Ir 192.22 Ir.upf
I 126.90 I.upf
Ru 101.07 Ru.upf
CELL_PARAMETERS angstrom
5.372 0.000 0.000
0.000 5.372 0.000
0.000 0.000 3.649
ATOMIC_POSITIONS crystal
O 0.000 0.000 0.500
Ir 0.500 0.500 0.500
I 0.500 0.000 0.000
I 0.000 0.500 0.000
Ru 0.000 0.000 0.000
```

Summary:
- Fermi-level density of states (states/eV per cell) = 6.8
- density (g cm⁻³) = 8.9
- SG = P4/mmm

=====

#R
# IrRuI2O

A geometry-optimized IrRuI2O structure (PBE, the Alexandria database). Values from VASP.

Geometry as Quantum ESPRESSO input:
```
&SYSTEM
  ibrav = 0, nat = 5, ntyp = 4
/
ATOMIC_SPECIES
I 126.90 I.upf
Ir 192.22 Ir.upf
O 16.00 O.upf
Ru 101.07 Ru.upf
CELL_PARAMETERS angstrom
5.480 0.000 0.000
0.000 5.480 0.000
0.000 0.000 3.670
ATOMIC_POSITIONS crystal
I 0.500 0.000 0.000
I 0.000 0.500 0.000
Ir 0.000 0.000 0.000
O 0.000 0.000 0.500
Ru 0.500 0.500 0.500
```

Summary:
- Fermi-level density of states (states/eV per cell) = 6.4
- density (g cm⁻³) = 8.5
- SG = P4/mmm

=====

Most stable of them? #Q.

=====

#P
# ScIrI2O

A geometry-optimized ScIrI2O structure (PBE, the Alexandria database). Values from VASP.

Geometry as Quantum ESPRESSO input:
```
&SYSTEM
  ibrav = 0, nat = 5, ntyp = 4
/
ATOMIC_SPECIES
Ir 192.22 Ir.upf
Sc 44.96 Sc.upf
I 126.90 I.upf
O 16.00 O.upf
CELL_PARAMETERS angstrom
-1.101 -5.497 -0.916
4.232 -1.432 3.509
-2.392 -0.001 2.884
ATOMIC_POSITIONS crystal
Ir 0.000 0.000 0.000
Sc 0.500 0.500 0.500
I 0.000 0.500 0.000
I 0.500 0.000 0.000
O 0.000 0.000 0.500
```

Summary:
- Fermi-level density of states (states/eV per cell) = 4.1
- density (g cm⁻³) = 7.0
- SG = P4/mmm

=====

#Q
# ScIrI2O

A geometry-optimized ScIrI2O structure (PBE, the Alexandria database). Values from VASP.

Geometry as Quantum ESPRESSO input:
```
&SYSTEM
  ibrav = 0, nat = 5, ntyp = 4
/
ATOMIC_SPECIES
Sc 44.96 Sc.upf
O 16.00 O.upf
I 126.90 I.upf
Ir 192.22 Ir.upf
CELL_PARAMETERS angstrom
5.779 0.000 0.000
0.000 5.779 0.000
0.000 0.000 3.793
ATOMIC_POSITIONS crystal
Sc 0.000 0.000 0.000
O 0.000 0.000 0.500
I 0.500 0.000 0.000
I 0.000 0.500 0.000
Ir 0.500 0.500 0.500
```

Summary:
- Fermi-level density of states (states/eV per cell) = 4.2
- density (g cm⁻³) = 6.6
- SG = P4/mmm

=====

Most stable of them? #Q.

=====

#P
# SnIrI2O

A geometry-optimized SnIrI2O structure (PBE, the Alexandria database). Values from VASP.

Geometry as Quantum ESPRESSO input:
```
&SYSTEM
  ibrav = 0, nat = 5, ntyp = 4
/
ATOMIC_SPECIES
I 126.90 I.upf
O 16.00 O.upf
Ir 192.22 Ir.upf
Sn 118.71 Sn.upf
CELL_PARAMETERS angstrom
5.892 0.000 0.000
0.000 5.892 0.000
0.000 0.000 3.921
ATOMIC_POSITIONS crystal
I 0.500 0.000 0.000
I 0.000 0.500 0.000
O 0.000 0.000 0.500
Ir 0.500 0.500 0.500
Sn 0.000 0.000 0.000
```

Summary:
- Fermi-level density of states (states/eV per cell) = 4.4
- density (g cm⁻³) = 7.1
- SG = P4/mmm

=====

#Q
# SnIrI2O

A geometry-optimized SnIrI2O structure (PBE, the Alexandria database). Values from VASP.

Geometry as Quantum ESPRESSO input:
```
&SYSTEM
  ibrav = 0, nat = 5, ntyp = 4
/
ATOMIC_SPECIES
I 126.90 I.upf
O 16.00 O.upf
Sn 118.71 Sn.upf
Ir 192.22 Ir.upf
CELL_PARAMETERS angstrom
5.770 0.000 0.000
0.000 5.770 0.000
0.000 0.000 3.779
ATOMIC_POSITIONS crystal
I 0.000 0.500 0.000
I 0.500 0.000 0.000
O 0.000 0.000 0.500
Sn 0.500 0.500 0.500
Ir 0.000 0.000 0.000
```

Summary:
- Fermi-level density of states (states/eV per cell) = 2.3
- density (g cm⁻³) = 7.7
- SG = P4/mmm

=====

Most stable of them? #Q.

=====

#P
# TaIrIO2

A geometry-optimized TaIrIO2 structure (PBE, the Alexandria database). Values from VASP.

Geometry as Quantum ESPRESSO input:
```
&SYSTEM
  ibrav = 0, nat = 5, ntyp = 4
/
ATOMIC_SPECIES
I 126.90 I.upf
Ir 192.22 Ir.upf
Ta 180.95 Ta.upf
O 16.00 O.upf
CELL_PARAMETERS angstrom
3.861 0.000 0.000
0.000 3.861 0.000
0.000 0.000 6.284
ATOMIC_POSITIONS crystal
I 0.000 0.000 0.500
Ir 0.500 0.500 0.500
Ta 0.000 0.000 0.000
O 0.500 0.000 0.000
O 0.000 0.500 0.000
```

Summary:
- Fermi-level density of states (states/eV per cell) = 4.7
- density (g cm⁻³) = 9.4
- SG = P4/mmm

=====

#Q
# TaIrIO2

A geometry-optimized TaIrIO2 structure (PBE, the Alexandria database). Values from VASP.

Geometry as Quantum ESPRESSO input:
```
&SYSTEM
  ibrav = 0, nat = 5, ntyp = 4
/
ATOMIC_SPECIES
Ta 180.95 Ta.upf
O 16.00 O.upf
Ir 192.22 Ir.upf
I 126.90 I.upf
CELL_PARAMETERS angstrom
3.827 0.000 0.000
0.000 3.827 0.000
0.000 0.000 7.735
ATOMIC_POSITIONS crystal
Ta 0.500 0.500 0.500
O 0.500 0.000 0.000
O 0.000 0.500 0.000
Ir 0.000 0.000 0.000
I 0.000 0.000 0.500
```

Summary:
- Fermi-level density of states (states/eV per cell) = 5.3
- density (g cm⁻³) = 7.8
- SG = P4/mmm

=====

Most stable of them? #P.

=====

#P
# TaIrI2O

A geometry-optimized TaIrI2O structure (PBE, the Alexandria database). Values from VASP.

Geometry as Quantum ESPRESSO input:
```
&SYSTEM
  ibrav = 0, nat = 5, ntyp = 4
/
ATOMIC_SPECIES
Ta 180.95 Ta.upf
I 126.90 I.upf
O 16.00 O.upf
Ir 192.22 Ir.upf
CELL_PARAMETERS angstrom
5.597 0.000 0.000
0.000 5.597 0.000
0.000 0.000 3.681
ATOMIC_POSITIONS crystal
Ta 0.500 0.500 0.500
I 0.500 0.000 0.000
I 0.000 0.500 0.000
O 0.000 0.000 0.500
Ir 0.000 0.000 0.000
```

Summary:
- Fermi-level density of states (states/eV per cell) = 3.9
- density (g cm⁻³) = 9.3
- SG = P4/mmm

=====

#Q
# TaIrI2O

A geometry-optimized TaIrI2O structure (PBE, the Alexandria database). Values from VASP.

Geometry as Quantum ESPRESSO input:
```
&SYSTEM
  ibrav = 0, nat = 5, ntyp = 4
/
ATOMIC_SPECIES
Ir 192.22 Ir.upf
I 126.90 I.upf
Ta 180.95 Ta.upf
O 16.00 O.upf
CELL_PARAMETERS angstrom
-0.732 -5.296 1.345
3.716 -1.477 -3.795
2.773 0.279 2.607
ATOMIC_POSITIONS crystal
Ir 0.500 0.500 0.500
I 0.000 0.500 0.000
I 0.500 0.000 0.000
Ta 0.000 0.000 0.000
O 0.000 0.000 0.500
```

Summary:
- Fermi-level density of states (states/eV per cell) = 5.6
- density (g cm⁻³) = 9.2
- SG = P4/mmm

=====

Most stable of them? #Q.

=====

#P
# TcIrI2O

A geometry-optimized TcIrI2O structure (PBE, the Alexandria database). Values from VASP.

Geometry as Quantum ESPRESSO input:
```
&SYSTEM
  ibrav = 0, nat = 5, ntyp = 4
/
ATOMIC_SPECIES
O 16.00 O.upf
Tc 98.00 Tc.upf
I 126.90 I.upf
Ir 192.22 Ir.upf
CELL_PARAMETERS angstrom
-4.563 -0.460 -2.849
1.503 -4.929 -1.611
-1.671 -1.462 2.913
ATOMIC_POSITIONS crystal
O 0.000 0.000 0.500
Tc 0.000 0.000 0.000
I 0.000 0.500 0.000
I 0.500 0.000 0.000
Ir 0.500 0.500 0.500
```

Summary:
- Fermi-level density of states (states/eV per cell) = 4.7
- density (g cm⁻³) = 8.7
- SG = P4/mmm

=====

#Q
# TcIrI2O

A geometry-optimized TcIrI2O structure (PBE, the Alexandria database). Values from VASP.

Geometry as Quantum ESPRESSO input:
```
&SYSTEM
  ibrav = 0, nat = 5, ntyp = 4
/
ATOMIC_SPECIES
I 126.90 I.upf
O 16.00 O.upf
Tc 98.00 Tc.upf
Ir 192.22 Ir.upf
CELL_PARAMETERS angstrom
5.480 0.000 0.000
0.000 5.480 0.000
0.000 0.000 3.660
ATOMIC_POSITIONS crystal
I 0.500 0.000 0.000
I 0.000 0.500 0.000
O 0.000 0.000 0.500
Tc 0.500 0.500 0.500
Ir 0.000 0.000 0.000
```

Summary:
- Fermi-level density of states (states/eV per cell) = 7.6
- density (g cm⁻³) = 8.5
- SG = P4/mmm

=====

Most stable of them? #P.

=====

#P
# TlIrIO2

A geometry-optimized TlIrIO2 structure (PBE, the Alexandria database). Values from VASP.

Geometry as Quantum ESPRESSO input:
```
&SYSTEM
  ibrav = 0, nat = 5, ntyp = 4
/
ATOMIC_SPECIES
Tl 204.38 Tl.upf
Ir 192.22 Ir.upf
I 126.90 I.upf
O 16.00 O.upf
CELL_PARAMETERS angstrom
-1.090 3.933 0.565
-3.971 -1.055 -0.310
-0.214 -0.889 5.770
ATOMIC_POSITIONS crystal
Tl 0.500 0.500 0.500
Ir 0.000 0.000 0.000
I 0.000 0.000 0.500
O 0.500 0.000 0.000
O 0.000 0.500 0.000
```

Summary:
- Fermi-level density of states (states/eV per cell) = 4.0
- density (g cm⁻³) = 9.3
- SG = P4/mmm

=====

#Q
# TlIrIO2

A geometry-optimized TlIrIO2 structure (PBE, the Alexandria database). Values from VASP.

Geometry as Quantum ESPRESSO input:
```
&SYSTEM
  ibrav = 0, nat = 5, ntyp = 4
/
ATOMIC_SPECIES
O 16.00 O.upf
I 126.90 I.upf
Ir 192.22 Ir.upf
Tl 204.38 Tl.upf
CELL_PARAMETERS angstrom
-0.286 3.079 -2.608
-5.224 -2.407 -2.269
-2.145 2.098 2.713
ATOMIC_POSITIONS crystal
O 0.000 0.000 0.500
O 0.500 0.000 0.000
I 0.500 0.500 0.500
Ir 0.000 0.500 0.000
Tl 0.000 0.000 0.000
```

Summary:
- Fermi-level density of states (states/eV per cell) = 7.1
- density (g cm⁻³) = 9.1
- SG = P4/mmm

=====

Most stable of them? #P.